No. 1
The following is a DFT calculation (GGA-PBE) of a relaxed structure of ErTmRu.

Calculated values
* ΔE to the lowest computed polymorph: 0.0637 eV per atom
* energy relative to the elements: -0.337 eV/atom

abc: 6.6826 6.6826 8.1931
angles: 114.15 114.14 89.85
Positions (direct):
Ru1 0.0369 0.4620 0.5000
Er1 0.4127 0.8378 0.7505
Er2 0.1622 0.5873 0.2495
Er3 0.9122 0.8373 0.7495
Tm1 0.6622 0.5872 0.2494
Ru2 0.7869 0.7120 0.0000
Er4 0.1627 0.0878 0.2505
Ru3 0.2880 0.2131 0.0000
Tm2 0.4128 0.3379 0.7506
Tm3 0.9122 0.3372 0.7494
Tm4 0.6628 0.0879 0.2506
Ru4 0.5380 0.9631 0.5000



No. 2
The following is a DFT calculation (GGA-PBE) of a relaxed structure of Tm3NiAg2.

Calculated values
* ΔE to the lowest computed polymorph: 0.1632 eV per atom
* energy relative to the elements: -0.185 eV/atom

abc: 5.7166 7.5968 7.4942
angles: 104.74 112.42 90.00
Positions (direct):
Ag1 0.3172 0.9086 0.6314
Ag2 0.6828 0.0914 0.3686
Tm1 0.5005 0.2500 0.0000
Tm2 0.4995 0.7500 0.0000
Ag3 0.3142 0.4086 0.6314
Tm3 0.8621 0.4312 0.7271
Ni1 0.9994 0.7500 0.0000
Tm4 0.1379 0.5688 0.2729
Tm5 0.1350 0.0688 0.2729
Ag4 0.6858 0.5914 0.3686
Ni2 0.0006 0.2500 0.0000
Tm6 0.8650 0.9312 0.7271



No. 3
The following is a DFT calculation (GGA-PBE) of a relaxed structure of Tb2MgBr.

Calculated values
* E_form (uncorrected): -231 meV per atom

abc: 3.4628 3.4628 11.5217
angles: 81.36 81.36 60.00
Positions (direct):
Br1 0.5000 0.5000 0.5000
Tb1 0.0968 0.0968 0.7097
Mg1 0.0000 0.0000 0.0000
Tb2 0.9032 0.9032 0.2903



No. 4
The following is a DFT calculation (GGA-PBE) of a relaxed structure of CsGePb2.

Calculated values
* ΔE to the lowest computed polymorph: 0.2828 eV per atom
* energy relative to the elements: 0.285 eV/atom

abc: 5.7234 5.7234 5.7234
angles: 60.00 60.00 60.00
Positions (direct):
Cs1 0.5000 0.5000 0.5000
Pb1 0.7500 0.7500 0.7500
Ge1 0.0000 0.0000 0.0000
Pb2 0.2500 0.2500 0.2500



No. 5
The following is a DFT calculation (GGA-PBE) of a relaxed structure of KRb2InTc.

Calculated values
* energy relative to the elements: 1.273 eV/atom

abc: 6.9273 6.7203 6.9273
angles: 90.00 90.00 90.00
Positions (direct):
Rb1 0.5000 0.0000 0.0000
In1 0.0000 0.0000 0.0000
Tc1 0.5000 0.5000 0.5000
K1 0.0000 0.5000 0.0000
Rb2 0.0000 0.0000 0.5000



Number 1: total energy -77.286 eV/cell, mass density 9.7 g cm⁻³. Number 2: total energy -52.019 eV/cell, mass density 9.0 g cm⁻³. Number 3: total energy -13.453 eV/cell, mass density 5.9 g cm⁻³. Number 4: total energy -11.748 eV/cell, mass density 7.8 g cm⁻³. Number 5: total energy -9.773 eV/cell, mass density 2.2 g cm⁻³.